1.
Material: KLaAs2
Method: DFT, PBE
State: optimized geometry

Results
The magnetic moment comes out at 0.16 μB per formula unit. For the relative energy among the computed polymorphs, the calculation gives 603 meV per atom. The calculation puts the formation energy at -0.278 eV/atom. The density is 4236 kg/m³. The calculation puts the electronic total energy at -4.109 eV per atom.

Geometry as POSCAR:
```
KLaAs2
1.0
3.7432 -0.0008 0.0000
0.0005 3.7432 0.0000
0.0000 0.0000 9.1721
K As La
1 2 1
Direct
0.0000 0.0000 0.4294 K
0.0000 0.0000 0.0580 As
0.5000 0.5000 0.1610 As
0.5000 0.5000 0.8516 La
```

2.
Material: FeTc2Ir
Method: DFT, PBE
State: optimized geometry

Results
The magnetic moment comes out at 2.07 μB per formula unit. For the relative energy among the computed polymorphs, the calculation gives 59 meV per atom. The calculation puts the formation energy at 0.010 eV/atom. The density is 13290 kg/m³. The calculation puts the electronic total energy at -9.504 eV per atom.

Geometry as POSCAR:
```
FeTc2Ir
1.0
-4.3173 1.7035 0.7163
-3.4770 0.6875 3.0809
1.1017 4.2550 1.4366
Fe Tc Ir
1 2 1
Direct
0.7500 0.7500 0.7500 Fe
0.5017 0.5017 0.5033 Tc
0.9983 0.9983 0.9967 Tc
0.2500 0.2500 0.2500 Ir
```